[1]
Material: LiEuHgPt
Method: DFT, PBE
State: relaxed

Output
Total magnetization   28.54 Bohr magnetons per cell
Volume   22.2 A^3/atom
Energy   -5.1294 eV/atom
Fermi-level density of states   10.26 states/eV/f.u.

abc: 7.080 7.080 7.080
angles: 90.00 90.00 90.00
Space group F-43m (No. 216)
Symmetry-distinct sites (fractional):
Li 0.000 0.000 0.000 (multiplicity 4)
Eu 0.000 0.000 0.500 (multiplicity 4)
Hg 0.250 0.250 0.250 (multiplicity 4)
Pt 0.250 0.250 0.750 (multiplicity 4)

[2]
Material: MnBe2NbSe
Method: DFT, PBE
State: relaxed

Output
Total magnetization   0.00 Bohr magnetons per cell
Volume   15.6 A^3/atom
Energy   -5.2565 eV/atom
Fermi-level density of states   5.84 states/eV/f.u.
Formation energy (no corrections)   0.779 eV/atom

abc: 4.174 4.174 4.476
angles: 90.00 90.00 90.00
Space group P4/mmm (No. 123)
Symmetry-distinct sites (fractional):
Mn 0.000 0.000 0.000 (multiplicity 1)
Be 0.000 0.500 0.000 (multiplicity 2)
Nb 0.000 0.000 0.500 (multiplicity 1)
Se 0.500 0.500 0.500 (multiplicity 1)